Record 1
This record from Alexandria via LeMat-Bulk describes a relaxed structure of CaNdAgGe. The functional is PBE.

Summary:
**E_tot**: -4.09 eV per atom
**N(E_F)**: 1.46 states/eV per cell
**SG**: F-43m
**Formation energy from the elements**: -2.128 eV per formula unit

Cell: 5.215 5.215 5.215 Å, 60.00 60.00 60.00°
Element x y z (fractional)
1 Ca 0.500 0.500 0.500
2 Ge 0.750 0.750 0.750
3 Nd 0.000 0.000 0.000
4 Ag 0.250 0.250 0.250

***

Record 2
This record from Alexandria via LeMat-Bulk describes a relaxed structure of CaNd2Ag2Ge2. The functional is PBE.

Summary:
**E_tot**: -4.22 eV per atom
**N(E_F)**: 2.29 states/eV per cell
**SG**: R-3m
**Formation energy from the elements**: -3.073 eV per formula unit

Cell: 4.610 4.610 9.882 Å, 76.51 76.51 60.00°
Element x y z (fractional)
1 Ag 0.602 0.602 0.195
2 Ca 0.000 0.000 0.000
3 Nd 0.127 0.127 0.620
4 Nd 0.873 0.873 0.380
5 Ge 0.743 0.743 0.771
6 Ag 0.398 0.398 0.805
7 Ge 0.257 0.257 0.229

***

Record 3
This record from Alexandria via LeMat-Bulk describes a relaxed structure of CaAgGe2O6. The functional is PBE.

Summary:
**E_tot**: -6.01 eV per atom
**N(E_F)**: 1.82 states/eV per cell
**SG**: C2/c
**ΔE_f (raw)**: -1.629 eV per atom

Cell: 5.787 7.284 7.284 Å, 84.69 75.77 75.77°
Element x y z (fractional)
1 Ge 0.216 0.379 0.213
2 O 0.555 0.619 0.659
3 Ag 0.750 0.728 0.272
4 Ca 0.250 0.896 0.104
5 O 0.122 0.615 0.132
6 Ge 0.284 0.787 0.621
7 Ge 0.784 0.621 0.787
8 O 0.338 0.207 0.041
9 O 0.878 0.385 0.868
10 O 0.162 0.959 0.793
11 Ag 0.250 0.272 0.728
12 O 0.445 0.381 0.341
13 Ca 0.750 0.104 0.896
14 O 0.378 0.868 0.385
15 O 0.838 0.041 0.207
16 O 0.622 0.132 0.615
17 Ge 0.716 0.213 0.379
18 O 0.662 0.793 0.959
19 O 0.055 0.659 0.619
20 O 0.945 0.341 0.381

***

Record 4
This record from Alexandria via LeMat-Bulk describes a relaxed structure of Ca3Ag2Ge3O12. The functional is PBE.

Summary:
**E_tot**: -5.93 eV per atom
**N(E_F)**: 28.75 states/eV per cell
**SG**: Ia-3d
**ΔE_f (raw)**: -1.676 eV per atom

Cell: 11.053 11.053 11.053 Å, 109.47 109.47 109.47°
Element x y z (fractional)
1 O 0.908 0.126 0.602
2 Ag 0.500 0.500 0.000
3 O 0.102 0.626 0.408
4 O 0.602 0.194 0.476
5 Ag 0.000 0.500 0.500
6 O 0.218 0.126 0.024
7 Ge 0.375 0.625 0.750
8 O 0.374 0.592 0.898
9 O 0.782 0.408 0.806
10 Ca 0.875 0.750 0.625
11 Ag 0.500 0.500 0.500
12 Ca 0.250 0.375 0.125
13 Ca 0.750 0.625 0.875
14 O 0.024 0.218 0.126
15 O 0.126 0.024 0.218
16 Ca 0.375 0.125 0.250
17 O 0.092 0.718 0.694
18 O 0.102 0.976 0.694
19 O 0.806 0.782 0.408
20 O 0.306 0.908 0.282
21 Ca 0.375 0.750 0.125
22 Ge 0.875 0.250 0.125
23 O 0.874 0.976 0.782
24 O 0.874 0.398 0.092
25 O 0.398 0.806 0.524
26 O 0.694 0.102 0.976
27 O 0.898 0.024 0.306
28 Ca 0.875 0.625 0.250
29 O 0.976 0.782 0.874
30 O 0.524 0.398 0.806
31 O 0.092 0.874 0.398
32 O 0.602 0.908 0.126
33 O 0.194 0.476 0.602
34 Ge 0.375 0.250 0.625
35 O 0.408 0.806 0.782
36 O 0.592 0.898 0.374
37 O 0.782 0.874 0.976
38 Ge 0.125 0.875 0.250
39 O 0.806 0.524 0.398
40 O 0.306 0.898 0.024
41 Ge 0.750 0.875 0.125
42 O 0.398 0.092 0.874
43 Ge 0.625 0.750 0.375
44 O 0.476 0.374 0.282
45 O 0.194 0.218 0.592
46 O 0.282 0.476 0.374
47 O 0.024 0.306 0.898
48 Ca 0.750 0.125 0.375
49 O 0.592 0.194 0.218
50 Ca 0.125 0.250 0.375
51 Ag 0.500 0.000 0.000
52 O 0.524 0.626 0.718
53 O 0.126 0.602 0.908
54 Ge 0.875 0.125 0.750
55 Ca 0.625 0.875 0.750
56 Ca 0.625 0.250 0.875
57 O 0.218 0.592 0.194
58 O 0.374 0.282 0.476
59 O 0.626 0.718 0.524
60 Ca 0.125 0.375 0.750
61 Ag 0.000 0.500 0.000
62 O 0.718 0.524 0.626
63 O 0.976 0.694 0.102
64 Ge 0.125 0.750 0.875
65 Ge 0.625 0.375 0.250
66 Ag 0.500 0.000 0.500
67 Ge 0.250 0.625 0.375
68 O 0.718 0.694 0.092
69 Ge 0.250 0.125 0.875
70 O 0.476 0.602 0.194
71 O 0.626 0.408 0.102
72 O 0.908 0.282 0.306
73 O 0.898 0.374 0.592
74 Ag 0.000 0.000 0.000
75 O 0.408 0.102 0.626
76 Ag 0.000 0.000 0.500
77 O 0.694 0.092 0.718
78 O 0.282 0.306 0.908
79 Ca 0.250 0.875 0.625
80 Ge 0.750 0.375 0.625

***

Record 5
This record from Alexandria via LeMat-Bulk describes a relaxed structure of CaPaAgGe. The functional is PBE.

Summary:
**E_tot**: -4.85 eV per atom
**N(E_F)**: 6.01 states/eV per cell
**SG**: F-43m
**Formation energy from the elements**: -0.445 eV per formula unit

Cell: 5.126 5.126 5.126 Å, 60.00 60.00 60.00°
Element x y z (fractional)
1 Pa 0.750 0.750 0.750
2 Ge 0.500 0.500 0.500
3 Ag 0.000 0.000 0.000
4 Ca 0.250 0.250 0.250

***

Record 6
This record from Alexandria via LeMat-Bulk describes a relaxed structure of CaAgGe2Pd. The functional is PBE.

Summary:
**E_tot**: -4.34 eV per atom
**N(E_F)**: 2.02 states/eV per cell
**SG**: I-4m2
**Formation energy from the elements**: -2.397 eV per formula unit

Cell: 4.396 4.396 6.045 Å, 111.32 111.32 90.00°
Element x y z (fractional)
1 Ge 0.381 0.381 0.762
2 Ca 0.000 0.000 0.000
3 Ge 0.619 0.619 0.238
4 Ag 0.250 0.750 0.500
5 Pd 0.750 0.250 0.500